The following is a GGA-PBE calculation of a geometry-optimized CaSb2Au structure, from the Alexandria database.

Cell lengths 10.966, 10.966, 10.966 Å; angles 155.62, 155.62, 34.75 degrees
Fractional positions:
Ca: 0.000 0.000 0.000
Ca: 0.750 0.250 0.500
Sb: 0.174 0.625 0.049
Sb: 0.375 0.424 0.549
Sb: 0.576 0.125 0.951
Sb: 0.875 0.826 0.451
Au: 0.250 0.750 0.500
Au: 0.500 0.500 0.000

Results
The value obtained for the density is 7.11 Mg/m³. The size of the total moment comes out at 0.00 μB/f.u. For the energy relative to the elements, uncorrected, the calculation gives -36 kJ/mol of atoms.



The following is a GGA-PBE calculation of a geometry-optimized Tl2Bi3H2 structure, from the Alexandria database.

Cell lengths 5.353, 5.964, 6.888 Å; angles 90.11, 112.69, 100.02 degrees
Fractional positions:
Tl: 0.155 0.460 0.331
Tl: 0.845 0.540 0.669
Bi: 0.466 0.001 0.230
Bi: 0.500 0.500 0.000
Bi: 0.534 0.999 0.770
H: 0.153 0.937 0.641
H: 0.847 0.063 0.359

Results
The value obtained for the density is 8.65 Mg/m³. The size of the total moment comes out at 0.00 μB/f.u. The value obtained for the total energy is -3.11 eV per atom.



The following is a GGA-PBE calculation of a geometry-optimized V2Co3 structure, from the Alexandria database.

Cell lengths 3.968, 3.968, 8.714 Å; angles 90.00, 90.00, 120.00 degrees
Fractional positions:
V: 0.000 0.000 0.000
V: 0.000 0.000 0.500
V: 0.333 0.667 0.250
V: 0.667 0.333 0.750
Co: 0.000 0.000 0.250
Co: 0.000 0.000 0.750
Co: 0.333 0.667 0.588
Co: 0.333 0.667 0.912
Co: 0.667 0.333 0.088
Co: 0.667 0.333 0.412

Results
The value obtained for the density is 7.79 Mg/m³. The size of the total moment comes out at 0.54 μB/f.u. The calculation puts the formation energy at 9 meV per atom.



The following is a GGA-PBE calculation of a geometry-optimized HfAlPd structure, from the Alexandria database.

Cell lengths 4.417, 4.417, 3.112 Å; angles 90.00, 90.00, 120.00 degrees
Fractional positions:
Hf: 0.000 0.000 0.000
Al: 0.333 0.667 0.500
Pd: 0.667 0.333 0.500

Results
The value obtained for the density is 9.85 Mg/m³. The size of the total moment comes out at 0.00 μB/f.u. The calculation puts the formation energy at -653 meV per atom.



The following is a GGA-PBE calculation of a geometry-optimized Pu2ThAs3 structure, from the Alexandria database.

Cell lengths 7.244, 7.244, 7.244 Å; angles 146.25, 131.64, 60.27 degrees
Fractional positions:
Pu: 0.166 0.166 0.000
Pu: 0.834 0.834 0.000
Th: 0.500 0.500 0.000
As: 0.000 0.500 0.500
As: 0.330 0.830 0.500
As: 0.670 0.170 0.500

Results
The value obtained for the density is 10.03 Mg/m³. The size of the total moment comes out at 10.65 μB/f.u. The calculation puts the formation energy at -1174 meV per atom. Its polymorph energy (0 for the lowest one) is 0.0 meV per atom.



The following is a GGA-PBE calculation of a geometry-optimized ZrSiW2 structure, from the Alexandria database.

Cell lengths 3.934, 3.934, 4.319 Å; angles 90.00, 90.00, 90.00 degrees
Fractional positions:
Zr: 0.000 0.000 0.000
Si: 0.500 0.500 0.000
W: 0.000 0.500 0.500
W: 0.500 0.000 0.500

Results
The value obtained for the density is 12.10 Mg/m³. The size of the total moment comes out at 0.00 μB/f.u. For the energy relative to the elements, uncorrected, the calculation gives 1 kJ/mol of atoms.



The following is a GGA-PBE calculation of a geometry-optimized BaZrCr2 structure, from the Alexandria database.

Cell lengths 3.171, 3.171, 9.062 Å; angles 90.00, 90.00, 90.00 degrees
Fractional positions:
Ba: 0.000 0.000 0.000
Zr: 0.500 0.500 0.634
Cr: 0.000 0.000 0.437
Cr: 0.500 0.500 0.305

Results
The value obtained for the density is 6.06 Mg/m³. The size of the total moment comes out at 1.50 μB/f.u. The calculation puts the formation energy at 566 meV per atom. Its polymorph energy (0 for the lowest one) is 0.0 meV per atom.



The following is a GGA-PBE calculation of a geometry-optimized SrSi2Au structure, from the Alexandria database.

Cell lengths 9.436, 9.436, 9.436 Å; angles 150.50, 150.50, 42.21 degrees
Fractional positions:
Sr: 0.375 0.625 0.750
Sr: 0.625 0.375 0.250
Si: 0.000 0.000 0.000
Si: 0.000 0.000 0.500
Si: 0.000 0.500 0.000
Si: 0.500 0.000 0.500
Au: 0.125 0.875 0.250
Au: 0.875 0.125 0.750

Results
The value obtained for the density is 5.57 Mg/m³. The size of the total moment comes out at 0.00 μB/f.u. For the energy relative to the elements, uncorrected, the calculation gives -24 kJ/mol of atoms.



The following is a GGA-PBE calculation of a geometry-optimized AsOs3 structure, from the Alexandria database.

Cell lengths 5.300, 5.300, 5.300 Å; angles 148.87, 60.97, 129.00 degrees
Fractional positions:
As: 0.000 0.000 0.000
Os: 0.085 0.304 0.780
Os: 0.524 0.304 0.220
Os: 0.564 0.064 0.500

Results
The value obtained for the density is 18.08 Mg/m³. The size of the total moment comes out at 0.00 μB/f.u. The calculation puts the formation energy at 252 meV per atom. Its polymorph energy (0 for the lowest one) is 0.0 meV per atom.



The following is a GGA-PBE calculation of a geometry-optimized VNi5Pt structure, from the Alexandria database.

Cell lengths 4.637, 4.637, 9.355 Å; angles 92.79, 92.79, 59.47 degrees
Fractional positions:
V: 0.233 0.767 0.750
V: 0.767 0.233 0.250
Ni: 0.154 0.170 0.562
Ni: 0.170 0.154 0.062
Ni: 0.241 0.263 0.821
Ni: 0.260 0.740 0.250
Ni: 0.263 0.241 0.321
Ni: 0.737 0.759 0.679
Ni: 0.740 0.260 0.750
Ni: 0.759 0.737 0.179
Ni: 0.830 0.846 0.938
Ni: 0.846 0.830 0.438
Pt: 0.500 0.500 0.000
Pt: 0.500 0.500 0.500

Results
The value obtained for the density is 10.36 Mg/m³. The size of the total moment comes out at 0.00 μB/f.u. The calculation puts the formation energy at 26 meV per atom. Its polymorph energy (0 for the lowest one) is 84.9 meV per atom.



The following is a GGA-PBE calculation of a geometry-optimized ZnReCl2 structure, from the Alexandria database.

Cell lengths 3.125, 3.125, 10.057 Å; angles 90.00, 90.00, 124.76 degrees
Fractional positions:
Zn: 0.000 0.000 0.000
Re: 0.000 0.000 0.500
Cl: 0.500 0.500 0.309
Cl: 0.500 0.500 0.691

Results
The value obtained for the density is 6.64 Mg/m³. The size of the total moment comes out at 0.00 μB/f.u. For the energy relative to the elements, uncorrected, the calculation gives 27 kJ/mol of atoms. Its polymorph energy (0 for the lowest one) is 303.3 meV per atom.